*w*
Compound: Ca2TlHg6
Source: Alexandria via LeMat-Bulk
Functional: GGA-PBE
Structure: optimized geometry

abc: 15.2996 8.8334 3.5334
angles: 90.00 90.23 90.00
Space group C2/m (No. 12)
Asymmetric unit:
Ca  0.1666  0.0000  0.0001 x4
Tl  0.0000  0.5000  0.0000 x2
Hg  0.0000  0.1665  0.5000 x4
Hg  0.1668  0.3332  0.4944 x8

*x*
Compound: Ca2TlHg6
Source: Alexandria via LeMat-Bulk
Functional: GGA-PBE
Structure: optimized geometry

abc: 8.5460 8.9014 6.2335
angles: 90.00 92.77 90.00
Space group C2/m (No. 12)
Asymmetric unit:
Ca  0.1778  0.0000  0.1776 x4
Tl  0.0000  0.5000  0.5000 x2
Hg  0.0000  0.3317  0.0000 x4
Hg  0.1640  0.1657  0.6677 x8

Most stable structure - *x*; separation to the second - 24 meV/atom.

*w*
Compound: Ca2Tl2Hg3
Source: Alexandria via LeMat-Bulk
Functional: GGA-PBE
Structure: optimized geometry

abc: 9.3959 9.3959 9.3959
angles: 90.00 90.00 90.00
Space group I2_13 (No. 199)
Asymmetric unit:
Ca  0.0172  0.0172  0.0172 x8
Tl  0.1780  0.3220  0.6780 x8
Hg  0.0000  0.2500  0.2715 x12

*x*
Compound: Ca2Tl2Hg3
Source: Alexandria via LeMat-Bulk
Functional: GGA-PBE
Structure: optimized geometry

abc: 3.8828 26.4265 3.8685
angles: 90.00 90.00 90.00
Space group Cmmm (No. 65)
Asymmetric unit:
Ca  0.0000  0.0702  0.0000 x4
Tl  0.0000  0.2019  0.0000 x4
Hg  0.0000  0.3649  0.5000 x4
Hg  0.0000  0.5000  0.5000 x2

Most stable structure - *x*; separation to the second - 83 meV/atom.

*w*
Compound: CaTl2Hg6
Source: Alexandria via LeMat-Bulk
Functional: GGA-PBE
Structure: optimized geometry

abc: 8.3321 9.1876 6.3335
angles: 90.00 95.97 90.00
Space group C2/m (No. 12)
Asymmetric unit:
Ca  0.0000  0.0000  0.0000 x2
Tl  0.1590  0.5000  0.6708 x4
Hg  0.0000  0.1655  0.5000 x4
Hg  0.1699  0.3323  0.1692 x8

*x*
Compound: CaTl2Hg6
Source: Alexandria via LeMat-Bulk
Functional: GGA-PBE
Structure: optimized geometry

abc: 9.0257 9.0257 3.4681
angles: 90.00 90.00 120.00
Space group P6/mmm (No. 191)
Asymmetric unit:
Ca  0.0000  0.0000  0.0000 x1
Tl  0.3333  0.6667  0.0000 x2
Hg  0.0000  0.3327  0.5000 x6

Most stable structure - *w*; separation to the second - 8 meV/atom.

*w*
Compound: CaTl2Hg8
Source: Alexandria via LeMat-Bulk
Functional: GGA-PBE
Structure: optimized geometry

abc: 16.5712 5.0122 7.6020
angles: 90.00 109.38 90.00
Space group C2/m (No. 12)
Asymmetric unit:
Ca  0.0000  0.0000  0.0000 x2
Tl  0.2226  0.5000  0.6425 x4
Hg  0.0295  0.5000  0.7279 x4
Hg  0.0895  0.0000  0.4520 x4
Hg  0.1430  0.5000  0.1565 x4
Hg  0.1732  0.0000  0.8977 x4

*x*
Compound: CaTl2Hg8
Source: Alexandria via LeMat-Bulk
Functional: GGA-PBE
Structure: optimized geometry

abc: 5.4048 6.1693 9.3054
angles: 92.66 104.92 90.98
Space group P-1 (No. 2)
Asymmetric unit:
Ca  0.0000  0.0000  0.0000 x1
Tl  0.3666  0.1921  0.7250 x2
Hg  0.0852  0.5276  0.1748 x2
Hg  0.1793  0.1021  0.3591 x2
Hg  0.2651  0.6423  0.5319 x2
Hg  0.4511  0.7249  0.9000 x2

Most stable structure - *w*; separation to the second - 17 meV/atom.